# 1
This record from Alexandria describes TiVSe2 after structural relaxation. The functional is PBE.

- Formation energy (no corrections): -639 meV/atom
- Calculated volume: 18.54 Å³/atom
- Total DFT energy (no corrections): -6.63 eV per atom
- Space-group type: R3m, No. 160
- M_tot: 1.66 μB/f.u.
- Energy above the most stable polymorph in this dataset: 0.000 eV per atom

The structure in CIF format:
```
data_TiVSe2
_chemical_formula_sum 'Ti1 V1 Se2'
_symmetry_space_group_name_H-M 'P 1'
_symmetry_Int_Tables_number 1
_symmetry_space_group_name_Hall 'P 1'
_cell_length_a 3.4244
_cell_length_b 3.4244
_cell_length_c 7.5671
_cell_angle_alpha 103.05
_cell_angle_beta 76.92
_cell_angle_gamma 120.01
loop_
_atom_site_label
_atom_site_fract_x
_atom_site_fract_y
_atom_site_fract_z
Ti1 0.6080 0.6240 0.7641
Se1 0.3479 0.8846 0.5449
V1 0.4608 0.7701 0.2044
Se2 0.8606 0.3707 0.0053
```

***

# 2
This record from Alexandria describes TiV4Se8 after structural relaxation. The functional is PBE.

- Formation energy (no corrections): -708 meV/atom
- Calculated volume: 20.48 Å³/atom
- Total DFT energy (no corrections): -6.27 eV per atom
- Space-group type: R-3m, No. 166
- M_tot: 6.30 μB/f.u.

The structure in CIF format:
```
data_TiV4Se8
_chemical_formula_sum 'Ti1 V4 Se8'
_symmetry_space_group_name_H-M 'P 1'
_symmetry_Int_Tables_number 1
_symmetry_space_group_name_Hall 'P 1'
_cell_length_a 7.1895
_cell_length_b 7.1896
_cell_length_c 7.2532
_cell_angle_alpha 90.00
_cell_angle_beta 119.71
_cell_angle_gamma 120.00
loop_
_atom_site_label
_atom_site_fract_x
_atom_site_fract_y
_atom_site_fract_z
V1 0.5000 0.0000 0.0000
V2 0.0000 0.5000 0.0000
Se1 0.0031 0.7549 0.2513
Se2 0.4964 0.2482 0.2513
Se3 0.0031 0.2482 0.2513
V3 0.0000 0.0000 0.0000
V4 0.5000 0.5000 0.0000
Se4 0.9969 0.2451 0.7487
Se5 0.5036 0.7518 0.7487
Ti1 0.0000 0.5000 0.5000
Se6 0.4951 0.7476 0.2427
Se7 0.9969 0.7518 0.7487
Se8 0.5049 0.2524 0.7573
```

***

# 3
This record from Alexandria describes TiVSe4 after structural relaxation. The functional is PBE.

- Formation energy (no corrections): -892 meV/atom
- Calculated volume: 22.85 Å³/atom
- Total DFT energy (no corrections): -6.05 eV per atom
- Space-group type: P2/m, No. 10
- M_tot: 1.04 μB/f.u.

The structure in CIF format:
```
data_TiVSe4
_chemical_formula_sum 'Ti1 V1 Se4'
_symmetry_space_group_name_H-M 'P 1'
_symmetry_Int_Tables_number 1
_symmetry_space_group_name_Hall 'P 1'
_cell_length_a 3.4498
_cell_length_b 5.9935
_cell_length_c 6.6310
_cell_angle_alpha 89.80
_cell_angle_beta 90.00
_cell_angle_gamma 90.00
loop_
_atom_site_label
_atom_site_fract_x
_atom_site_fract_y
_atom_site_fract_z
Ti1 0.0000 0.0000 0.0000
Se1 0.5000 0.8293 0.2377
Se2 0.0000 0.6625 0.7657
Se3 0.5000 0.1707 0.7623
V1 0.5000 0.5000 0.0000
Se4 0.0000 0.3375 0.2343
```

***

# 4
This record from Alexandria describes TiVSe after structural relaxation. The functional is PBE.

- Formation energy (no corrections): -238 meV/atom
- Calculated volume: 20.60 Å³/atom
- Total DFT energy (no corrections): -7.07 eV per atom
- Space-group type: C2/m, No. 12
- M_tot: 0.00 μB/f.u.

The structure in CIF format:
```
data_TiVSe
_chemical_formula_sum 'Ti2 V2 Se2'
_symmetry_space_group_name_H-M 'P 1'
_symmetry_Int_Tables_number 1
_symmetry_space_group_name_Hall 'P 1'
_cell_length_a 3.8247
_cell_length_b 3.8247
_cell_length_c 10.8582
_cell_angle_alpha 78.26
_cell_angle_beta 78.26
_cell_angle_gamma 53.04
loop_
_atom_site_label
_atom_site_fract_x
_atom_site_fract_y
_atom_site_fract_z
Se1 0.6639 0.6639 0.3178
V1 0.5518 0.5518 0.5927
V2 0.2013 0.2013 0.7147
Ti1 0.3083 0.3083 0.4379
Se2 0.0893 0.0893 0.9896
Ti2 0.4449 0.4449 0.8695
```

***

# 5
This record from Alexandria describes Ti2VSe4 after structural relaxation. The functional is PBE.

- Formation energy (no corrections): -1037 meV/atom
- Calculated volume: 19.44 Å³/atom
- Total DFT energy (no corrections): -6.59 eV per atom
- Space-group type: C2/m, No. 12
- M_tot: 1.62 μB/f.u.
- Energy above the most stable polymorph in this dataset: 0.000 eV per atom

The structure in CIF format:
```
data_Ti2VSe4
_chemical_formula_sum 'Ti2 V1 Se4'
_symmetry_space_group_name_H-M 'P 1'
_symmetry_Int_Tables_number 1
_symmetry_space_group_name_Hall 'P 1'
_cell_length_a 3.5341
_cell_length_b 6.3695
_cell_length_c 7.0138
_cell_angle_alpha 116.09
_cell_angle_beta 104.59
_cell_angle_gamma 90.00
loop_
_atom_site_label
_atom_site_fract_x
_atom_site_fract_y
_atom_site_fract_z
Se1 0.8881 0.5533 0.7763
V1 0.0000 0.0000 0.0000
Se2 0.3690 0.0344 0.7379
Se3 0.6310 0.9656 0.2621
Se4 0.1119 0.4467 0.2237
Ti1 0.7471 0.7107 0.4941
Ti2 0.2529 0.2893 0.5059
```

***

# 6
This record from Alexandria describes Ti2VSe5 after structural relaxation. The functional is PBE.

- Formation energy (no corrections): -870 meV/atom
- Calculated volume: 23.18 Å³/atom
- Total DFT energy (no corrections): -6.16 eV per atom
- Space-group type: Cmcm, No. 63
- M_tot: 2.15 μB/f.u.

The structure in CIF format:
```
data_Ti2VSe5
_chemical_formula_sum 'Ti4 V2 Se10'
_symmetry_space_group_name_H-M 'P 1'
_symmetry_Int_Tables_number 1
_symmetry_space_group_name_Hall 'P 1'
_cell_length_a 5.0418
_cell_length_b 6.6519
_cell_length_c 11.9480
_cell_angle_alpha 90.00
_cell_angle_beta 90.00
_cell_angle_gamma 112.27
loop_
_atom_site_label
_atom_site_fract_x
_atom_site_fract_y
_atom_site_fract_z
Se1 0.3341 0.6683 0.4181
Se2 0.0423 0.0845 0.3828
Ti1 0.1673 0.3346 0.9586
Se3 0.9577 0.9155 0.6172
Se4 0.2475 0.4950 0.7500
Se5 0.7525 0.5050 0.2500
Se6 0.6659 0.3317 0.5819
Ti2 0.8327 0.6654 0.0414
Se7 0.0423 0.0845 0.1172
Se8 0.3341 0.6683 0.0819
Ti3 0.8327 0.6654 0.4586
V1 0.1921 0.3842 0.2500
Se9 0.6659 0.3317 0.9181
Se10 0.9577 0.9155 0.8828
Ti4 0.1673 0.3346 0.5414
V2 0.8079 0.6158 0.7500
```

***

# 7
This record from Alexandria describes Ti3VSe4 after structural relaxation. The functional is PBE.

- Formation energy (no corrections): -641 meV/atom
- Calculated volume: 20.62 Å³/atom
- Total DFT energy (no corrections): -6.48 eV per atom
- Space-group type: Pmn2_1, No. 31
- M_tot: 1.39 μB/f.u.

The structure in CIF format:
```
data_Ti3VSe4
_chemical_formula_sum 'Ti6 V2 Se8'
_symmetry_space_group_name_H-M 'P 1'
_symmetry_Int_Tables_number 1
_symmetry_space_group_name_Hall 'P 1'
_cell_length_a 6.8133
_cell_length_b 6.8060
_cell_length_c 7.1152
_cell_angle_alpha 90.00
_cell_angle_beta 90.00
_cell_angle_gamma 90.00
loop_
_atom_site_label
_atom_site_fract_x
_atom_site_fract_y
_atom_site_fract_z
Se1 0.5970 0.1479 0.0000
Ti1 0.0359 0.5984 0.7567
Ti2 0.0359 0.5984 0.2433
V1 0.4395 0.7365 0.5000
Se2 0.0884 0.8645 0.0000
Ti3 0.4430 0.7768 0.0000
Se3 0.6878 0.7336 0.7487
Ti4 0.5359 0.4016 0.7433
Se4 0.5884 0.1355 0.5000
V2 0.9395 0.2635 0.0000
Se5 0.0970 0.8521 0.5000
Ti5 0.5359 0.4016 0.2567
Se6 0.1878 0.2664 0.7513
Ti6 0.9430 0.2232 0.5000
Se7 0.6878 0.7336 0.2513
Se8 0.1878 0.2664 0.2487
```

***

# 8
This record from Alexandria describes TiV2Se4 after structural relaxation. The functional is PBE.

- Formation energy (no corrections): -862 meV/atom
- Calculated volume: 18.48 Å³/atom
- Total DFT energy (no corrections): -6.59 eV per atom
- Space-group type: C2/m, No. 12
- M_tot: 1.13 μB/f.u.
- Energy above the most stable polymorph in this dataset: 0.000 eV per atom

The structure in CIF format:
```
data_TiV2Se4
_chemical_formula_sum 'Ti1 V2 Se4'
_symmetry_space_group_name_H-M 'P 1'
_symmetry_Int_Tables_number 1
_symmetry_space_group_name_Hall 'P 1'
_cell_length_a 3.4042
_cell_length_b 6.1945
_cell_length_c 7.1674
_cell_angle_alpha 117.37
_cell_angle_beta 103.74
_cell_angle_gamma 90.00
loop_
_atom_site_label
_atom_site_fract_x
_atom_site_fract_y
_atom_site_fract_z
Ti1 0.0000 0.0000 0.0000
Se1 0.1091 0.7620 0.2183
Se2 0.6426 0.3055 0.2853
V1 0.7452 0.8136 0.4904
Se3 0.8909 0.2380 0.7817
Se4 0.3574 0.6945 0.7147
V2 0.2548 0.1864 0.5096
```

***

# 9
This record from Alexandria describes Ti2VWSe after structural relaxation. The functional is PBE.

- Formation energy (no corrections): 630 meV/atom
- Calculated volume: 18.37 Å³/atom
- Total DFT energy (no corrections): -7.64 eV per atom
- Space-group type: P4/mmm, No. 123
- M_tot: 0.00 μB/f.u.

The structure in CIF format:
```
data_Ti2VWSe
_chemical_formula_sum 'Ti2 V1 W1 Se1'
_symmetry_space_group_name_H-M 'P 1'
_symmetry_Int_Tables_number 1
_symmetry_space_group_name_Hall 'P 1'
_cell_length_a 4.5915
_cell_length_b 4.3580
_cell_length_c 4.5915
_cell_angle_alpha 90.00
_cell_angle_beta 90.00
_cell_angle_gamma 90.00
loop_
_atom_site_label
_atom_site_fract_x
_atom_site_fract_y
_atom_site_fract_z
Se1 0.0000 0.0000 0.0000
Ti1 0.0000 0.0000 0.5000
Ti2 0.5000 0.0000 0.0000
V1 0.0000 0.5000 0.0000
W1 0.5000 0.5000 0.5000
```

***

# 10
This record from Alexandria describes YTiVSe2 after structural relaxation. The functional is PBE.

- Formation energy (no corrections): -212 meV/atom
- Calculated volume: 21.37 Å³/atom
- Total DFT energy (no corrections): -6.30 eV per atom
- Space-group type: P4/mmm, No. 123
- M_tot: 0.02 μB/f.u.

The structure in CIF format:
```
data_YTiVSe2
_chemical_formula_sum 'Y1 Ti1 V1 Se2'
_symmetry_space_group_name_H-M 'P 1'
_symmetry_Int_Tables_number 1
_symmetry_space_group_name_Hall 'P 1'
_cell_length_a 5.0132
_cell_length_b 4.2521
_cell_length_c 5.0132
_cell_angle_alpha 90.00
_cell_angle_beta 90.00
_cell_angle_gamma 90.00
loop_
_atom_site_label
_atom_site_fract_x
_atom_site_fract_y
_atom_site_fract_z
Se1 0.0000 0.0000 0.5000
Se2 0.5000 0.0000 0.0000
Ti1 0.0000 0.0000 0.0000
Y1 0.5000 0.5000 0.5000
V1 0.0000 0.5000 0.0000
```

***

Which value of M_tot does entry 1 give? 1.66 μB/f.u.